Entry from Alexandria via LeMat-Bulk: crystalline Ac2MgHgSe5 at its relaxed geometry (PBE-GGA).

Formation energy without anion corrections (meV/atom): -1432.1
Total magnetization (μB/cell): 0.00
Calculated density (g cm⁻³): 7.235
Total energy (eV/atom): -4.492

a = 9.2870 Å, b = 9.2870 Å, c = 12.6896 Å
α = 90.00°, β = 90.00°, γ = 153.24°
Fractional coordinates of all 18 atoms:
Ac 0.1189 0.8811 0.5000
Ac 0.1378 0.8622 0.1131
Ac 0.8622 0.1378 0.6131
Ac 0.8811 0.1189 0.0000
Mg 0.2022 0.7978 0.8188
Mg 0.7978 0.2022 0.3188
Hg 0.4641 0.5359 0.2673
Hg 0.5359 0.4641 0.7673
Se 0.0519 0.9481 0.8803
Se 0.2896 0.7104 0.4650
Se 0.3096 0.6904 0.1649
Se 0.3516 0.6484 0.8101
Se 0.4932 0.5068 0.5731
Se 0.5068 0.4932 0.0731
Se 0.6484 0.3516 0.3101
Se 0.6904 0.3096 0.6649
Se 0.7104 0.2896 0.9650
Se 0.9481 0.0519 0.3803